This record from Alexandria describes crystalline LiPrAs2Rh5 at its relaxed geometry. The functional is PBE.

Summary:
Energy of formation (eV/atom): -0.472
DOS(E_F) (states/eV/cell): 6.28

```
9
Lattice="-0.4891 0.0488 4.1482 -1.8492 -3.7415 -0.1740 8.0763 -4.0382 0.9998" Properties=species:S:1:pos:R:3 pbc="T T T"
Li 0.0000 0.0000 0.0000
Pr 4.0381 -2.0191 0.4999
As -0.0456 -2.4082 2.1262
As 5.7835 -5.3228 2.8477
Rh 1.2130 -2.9396 0.1776
Rh 1.8930 -1.0444 2.3387
Rh 5.0141 -4.8402 0.6481
Rh 5.6942 -2.9450 2.8092
Rh 2.8690 -3.8655 2.4869
```

---

This record from Alexandria describes crystalline Li4HoSc3Se8 at its relaxed geometry. The functional is PBE.

Summary:
Formation energy from raw total energies (meV per atom): -1616

```
16
Lattice="7.8297 0.0000 0.0000 0.0000 7.8648 0.0169 -3.9149 -3.9110 5.5389" Properties=species:S:1:pos:R:3 pbc="T T T"
Li 3.9149 0.0000 0.0000
Li 1.9574 -1.9555 2.7694
Li 0.0000 0.0000 0.0000
Li -1.9574 -1.9555 2.7694
Ho 0.0000 3.9324 0.0084
Sc 3.9149 3.9324 0.0084
Sc 1.9574 1.9769 2.7779
Sc -1.9574 1.9769 2.7779
Se -1.8993 1.9883 5.5119
Se 0.0000 3.8857 2.8244
Se 0.0000 0.0592 2.8070
Se 1.8993 1.9883 5.5119
Se 2.0155 1.9655 0.0439
Se 3.9149 3.8946 2.7487
Se 3.9149 0.0681 2.7313
Se 5.8142 1.9655 0.0439
```